First-principles (GGA-PBE) data for a relaxed structure of DyPuSi4, as listed in Alexandria.

E_tot = -7.293 eV/atom
polymorph energy (0 for the lowest one) = 0 meV/atom

abc: 4.077 7.021 7.804
angles: 90.00 90.00 90.00
Space group Immm (No. 71)
One atom of each set of equivalent atoms:
1 Dy 0.000 0.000 0.000 x2
2 Pu 0.000 0.000 0.500 x2
3 Si 0.000 0.334 0.248 x8

First-principles (GGA-PBE) data for a relaxed structure of CdAs2Rh, as listed in Alexandria.

E_tot = -4.381 eV/atom
energy of formation from the pure elements = 0.01 eV/atom

abc: 3.205 3.944 6.170
angles: 90.00 104.35 90.00
Space group Pm (No. 6)
One atom of each set of equivalent atoms:
1 Cd 0.000 0.000 0.000 x1
2 As 0.390 0.500 0.774 x1
3 As 0.733 0.000 0.449 x1
4 Rh 0.189 0.500 0.360 x1

First-principles (GGA-PBE) data for a relaxed structure of CoGeSe2N, as listed in Alexandria.

E_tot = -4.402 eV/atom
polymorph energy (0 for the lowest one) = 675 meV/atom

abc: 5.198 5.198 3.467
angles: 90.00 90.00 90.00
Space group P4/mmm (No. 123)
One atom of each set of equivalent atoms:
1 Co 0.000 0.000 0.000 x1
2 Ge 0.500 0.500 0.500 x1
3 Se 0.000 0.500 0.500 x2
4 N 0.500 0.500 0.000 x1

First-principles (GGA-PBE) data for a relaxed structure of CuIr3, as listed in Alexandria.

E_tot = -7.631 eV/atom
energy of formation from the pure elements = 0.04 eV/atom

abc: 2.7276 2.7276 26.1579
angles: 90.00 90.00 120.00
Space group R-3m (No. 166, hexagonal axes)
One atom of each set of equivalent atoms:
1 Cu 0.0000 0.0000 0.0000 x3
2 Ir 0.0000 0.0000 0.2514 x6
3 Ir 0.0000 0.0000 0.5000 x3

First-principles (GGA-PBE) data for a relaxed structure of TaHg2RuPt, as listed in Alexandria.

E_tot = -3.978 eV/atom
energy of formation from the pure elements = 1.58 eV/atom

abc: 5.285 5.285 4.854
angles: 90.00 90.00 90.00
Space group P4/mmm (No. 123)
One atom of each set of equivalent atoms:
1 Ta 0.000 0.000 0.000 x1
2 Hg 0.000 0.500 0.000 x2
3 Ru 0.500 0.500 0.500 x1
4 Pt 0.000 0.000 0.500 x1

First-principles (GGA-PBE) data for a relaxed structure of Tb2TiCu, as listed in Alexandria.

E_tot = -4.849 eV/atom
energy of formation from the pure elements = 0.46 eV/atom
polymorph energy (0 for the lowest one) = 442 meV/atom

abc: 3.2427 3.2427 31.4693
angles: 90.00 90.00 120.00
Space group R-3m (No. 166, hexagonal axes)
One atom of each set of equivalent atoms:
1 Tb 0.0000 0.0000 0.0943 x6
2 Ti 0.0000 0.0000 0.0000 x3
3 Cu 0.0000 0.0000 0.5000 x3

First-principles (GGA-PBE) data for a relaxed structure of TbTm2Ga3, as listed in Alexandria.

E_tot = -4.349 eV/atom
energy of formation from the pure elements = -0.57 eV/atom

abc: 5.0102 5.0102 12.2977
angles: 90.00 90.00 120.00
Space group P-3m1 (No. 164)
One atom of each set of equivalent atoms:
1 Tb 0.3333 0.6667 0.1667 x2
2 Tm 0.0000 0.0000 0.0000 x1
3 Tm 0.0000 0.0000 0.5000 x1
4 Tm 0.3333 0.6667 0.6648 x2
5 Ga 0.0000 0.0000 0.2519 x2
6 Ga 0.3333 0.6667 0.4179 x2
7 Ga 0.3333 0.6667 0.9157 x2

First-principles (GGA-PBE) data for a relaxed structure of Ba8Li, as listed in Alexandria.

E_tot = -1.861 eV/atom
energy of formation from the pure elements = 0.06 eV/atom
polymorph energy (0 for the lowest one) = 23 meV/atom

abc: 12.922 12.922 6.483
angles: 90.00 90.00 90.00
Space group I4/mmm (No. 139)
One atom of each set of equivalent atoms:
1 Ba 0.000 0.323 0.000 x8
2 Ba 0.161 0.161 0.500 x8
3 Li 0.000 0.000 0.000 x2

First-principles (GGA-PBE) data for a relaxed structure of Pm2PuAsN5, as listed in Alexandria.

E_tot = -8.553 eV/atom

abc: 3.512 14.238 10.334
angles: 90.00 90.00 90.00
Space group Cmc2_1 (No. 36)
One atom of each set of equivalent atoms:
1 Pm 0.000 0.110 0.000 x4
2 Pm 0.000 0.134 0.641 x4
3 Pu 0.000 0.203 0.344 x4
4 As 0.000 0.457 0.758 x4
5 N 0.000 0.035 0.343 x4
6 N 0.000 0.288 0.981 x4
7 N 0.000 0.326 0.697 x4
8 N 0.000 0.348 0.326 x4
9 N 0.000 0.491 0.098 x4

First-principles (GGA-PBE) data for a relaxed structure of Tm6Te3Au2Se, as listed in Alexandria.

E_tot = -5.025 eV/atom

abc: 7.223 12.525 7.512
angles: 90.00 108.67 90.00
Space group C2/m (No. 12)
One atom of each set of equivalent atoms:
1 Tm 0.233 0.000 0.222 x4
2 Tm 0.246 0.330 0.224 x8
3 Te 0.000 0.000 0.500 x2
4 Te 0.000 0.338 0.500 x4
5 Au 0.000 0.168 0.000 x4
6 Se 0.000 0.500 0.000 x2

First-principles (GGA-PBE) data for a relaxed structure of KInTe4, as listed in Alexandria.

E_tot = -2.898 eV/atom

abc: 9.332 9.332 9.332
angles: 90.00 90.00 90.00
Space group F-43m (No. 216)
One atom of each set of equivalent atoms:
1 K 0.000 0.000 0.000 x4
2 In 0.250 0.250 0.250 x4
3 Te 0.125 0.125 0.625 x16

First-principles (GGA-PBE) data for a relaxed structure of Zr2ZnTe, as listed in Alexandria.

E_tot = -5.820 eV/atom
polymorph energy (0 for the lowest one) = 0 meV/atom

abc: 3.842 4.111 5.679
angles: 90.00 109.66 90.00
Space group Pm (No. 6)
One atom of each set of equivalent atoms:
1 Zr 0.000 0.000 0.000 x1
2 Zr 0.298 0.500 0.597 x1
3 Zn 0.752 0.000 0.502 x1
4 Te 0.576 0.500 0.153 x1

First-principles (GGA-PBE) data for a relaxed structure of AlTcP, as listed in Alexandria.

E_tot = -6.982 eV/atom
energy of formation from the pure elements = -0.48 eV/atom
polymorph energy (0 for the lowest one) = 37 meV/atom

abc: 8.545 3.154 6.617
angles: 90.00 104.39 90.00
Space group Cm (No. 8)
One atom of each set of equivalent atoms:
1 Al 0.000 0.000 0.000 x2
2 Al 0.222 0.000 0.488 x2
3 Tc 0.254 0.000 0.886 x2
4 Tc 0.474 0.000 0.307 x2
5 P 0.061 0.500 0.686 x2
6 P 0.250 0.500 0.182 x2

First-principles (GGA-PBE) data for a relaxed structure of Gd2ErFe, as listed in Alexandria.

E_tot = -9.979 eV/atom
energy of formation from the pure elements = 0.32 eV/atom
polymorph energy (0 for the lowest one) = 223 meV/atom

abc: 3.4992 3.4992 31.5172
angles: 90.00 90.00 120.00
Space group R-3m (No. 166, hexagonal axes)
One atom of each set of equivalent atoms:
1 Gd 0.0000 0.0000 0.1073 x6
2 Er 0.0000 0.0000 0.0000 x3
3 Fe 0.0000 0.0000 0.5000 x3

First-principles (GGA-PBE) data for a relaxed structure of V2Te6Pt, as listed in Alexandria.

E_tot = -5.127 eV/atom

abc: 14.223 3.727 9.098
angles: 90.00 104.90 90.00
Space group C2/m (No. 12)
One atom of each set of equivalent atoms:
1 V 0.193 0.000 0.372 x4
2 Te 0.046 0.500 0.309 x4
3 Te 0.142 0.000 0.059 x4
4 Te 0.176 0.000 0.655 x4
5 Pt 0.000 0.500 0.000 x2

First-principles (GGA-PBE) data for a relaxed structure of Ca3Ga2Ag4, as listed in Alexandria.

E_tot = -2.954 eV/atom
energy of formation from the pure elements = -0.35 eV/atom

abc: 10.891 4.726 8.821
angles: 90.00 112.76 90.00
Space group C2/m (No. 12)
One atom of each set of equivalent atoms:
1 Ca 0.000 0.000 0.000 x2
2 Ca 0.147 0.500 0.684 x4
3 Ga 0.145 0.500 0.318 x4
4 Ag 0.089 0.000 0.412 x4
5 Ag 0.222 0.500 0.070 x4

First-principles (GGA-PBE) data for a relaxed structure of RbSn3S, as listed in Alexandria.

E_tot = -3.335 eV/atom
polymorph energy (0 for the lowest one) = 0 meV/atom

abc: 5.557 5.557 5.557
angles: 90.00 90.00 90.00
Space group Pm-3m (No. 221)
One atom of each set of equivalent atoms:
1 Rb 0.000 0.000 0.000 x1
2 Sn 0.000 0.500 0.500 x3
3 S 0.500 0.500 0.500 x1

First-principles (GGA-PBE) data for a relaxed structure of ThPaCdO6, as listed in Alexandria.

E_tot = -8.031 eV/atom

abc: 5.245 5.245 10.661
angles: 90.00 90.00 90.00
Space group P4_2nm (No. 102)
One atom of each set of equivalent atoms:
1 Th 0.000 0.000 0.000 x2
2 Pa 0.000 0.000 0.336 x2
3 Cd 0.000 0.000 0.670 x2
4 O 0.184 0.184 0.179 x4
5 O 0.191 0.191 0.491 x4
6 O 0.206 0.206 0.839 x4

First-principles (GGA-PBE) data for a relaxed structure of YZn3Cu8, as listed in Alexandria.

E_tot = -3.666 eV/atom
energy of formation from the pure elements = -0.08 eV/atom

abc: 4.9635 4.9635 8.0296
angles: 90.00 90.00 120.00
Space group P3m1 (No. 156)
One atom of each set of equivalent atoms:
1 Y 0.0000 0.0000 0.0000 x1
2 Zn 0.0000 0.0000 0.3939 x1
3 Zn 0.6667 0.3333 0.4907 x1
4 Zn 0.6667 0.3333 0.8323 x1
5 Cu 0.1648 0.3297 0.6794 x3
6 Cu 0.3333 0.6667 0.4355 x1
7 Cu 0.3333 0.6667 0.9366 x1
8 Cu 0.5035 0.0071 0.1969 x3

First-principles (GGA-PBE) data for a relaxed structure of TiAs, as listed in Alexandria.

E_tot = -7.188 eV/atom
energy of formation from the pure elements = -0.92 eV/atom

abc: 3.6582 3.6582 6.1299
angles: 90.00 90.00 120.00
Space group P6_3/mmc (No. 194)
One atom of each set of equivalent atoms:
1 Ti 0.0000 0.0000 0.0000 x2
2 As 0.3333 0.6667 0.2500 x2

First-principles (GGA-PBE) data for a relaxed structure of La2MnW, as listed in Alexandria.

E_tot = -7.146 eV/atom
energy of formation from the pure elements = 0.85 eV/atom
polymorph energy (0 for the lowest one) = 530 meV/atom

abc: 3.4667 3.4667 28.2911
angles: 90.00 90.00 120.00
Space group R-3m (No. 166, hexagonal axes)
One atom of each set of equivalent atoms:
1 La 0.0000 0.0000 0.2465 x6
2 Mn 0.0000 0.0000 0.0000 x3
3 W 0.0000 0.0000 0.5000 x3

First-principles (GGA-PBE) data for a relaxed structure of CaSiP3, as listed in Alexandria.

E_tot = -4.906 eV/atom
polymorph energy (0 for the lowest one) = 202 meV/atom

abc: 5.985 5.985 5.414
angles: 90.00 90.00 90.00
Space group P4/mbm (No. 127)
One atom of each set of equivalent atoms:
1 Ca 0.000 0.500 0.000 x2
2 Si 0.000 0.000 0.500 x2
3 P 0.000 0.000 0.000 x2
4 P 0.126 0.374 0.500 x4

First-principles (GGA-PBE) data for a relaxed structure of Al2GeS6, as listed in Alexandria.

E_tot = -4.475 eV/atom

abc: 5.690 5.690 10.680
angles: 90.00 90.00 90.00
Space group P4_2/mnm (No. 136)
One atom of each set of equivalent atoms:
1 Al 0.000 0.000 0.167 x4
2 Ge 0.000 0.000 0.500 x2
3 S 0.192 0.192 0.000 x4
4 S 0.195 0.195 0.332 x8